VASP calculation (PBE-GGA) on a relaxed NaTb2PuO6 crystal.

abc: 6.1354 6.1354 6.1354
angles: 56.98 56.98 56.98
With the nearest neighbours (Å) after each atom.
Positions (direct):
Na: 0.0000 0.0000 0.0000  6 O 2.40-2.65
Tb: 0.2712 0.2712 0.2712  6 O 2.26-2.41
Tb: 0.7818 0.7818 0.7818  6 O 2.25-2.37
Pu: 0.4803 0.4803 0.4803  6 O 2.14-2.17
O: 0.1033 0.6492 0.4122  1 Pu 2.14, 1 Tb 2.25
O: 0.2017 0.5676 0.8628  1 Pu 2.17, 2 Tb 2.26-2.37
O: 0.4122 0.1033 0.6492  1 Pu 2.14, 1 Tb 2.25
O: 0.5676 0.8628 0.2017  1 Pu 2.17, 2 Tb 2.26-2.37
O: 0.6492 0.4122 0.1033  1 Pu 2.14, 1 Tb 2.25
O: 0.8628 0.2017 0.5676  1 Pu 2.17, 2 Tb 2.26-2.37

- Symmetry: R3 (146)
- Volume: 151.9 Å³/f.u.

VASP calculation (PBE-GGA) on a relaxed Tm2HfCu crystal.

abc: 3.3234 3.3234 8.2357
angles: 90.00 90.00 90.00
With the nearest neighbours (Å) after each atom.
Positions (direct):
Tm: 0.0000 0.0000 0.2197  4 Cu 2.97, 4 Hf 3.29
Tm: 0.0000 0.0000 0.7803  4 Cu 2.97, 4 Hf 3.29
Hf: 0.5000 0.5000 0.5000  8 Tm 3.29, 4 Hf 3.32
Cu: 0.5000 0.5000 0.0000  8 Tm 2.97

- Symmetry: P4/mmm (123)
- E_form: -0.08 eV per atom
- Volume: 91.0 Å³/f.u.

| no. | VASP energy (eV/cell) |
| --- | --- |
| 1 | -84.44 |
| 2 | -23.31 |